[1]
The following is a GGA-PBE calculation of a relaxed Y2Ga5IrRu2 crystal, from Alexandria via LeMat-Bulk.

Results
Raw total energy = -5.9352 eV per atom
Calculated volume = 354.44 Å³/cell
DFT formation energy = -0.3877 eV per atom
DOS(E_F) = 0.557 states/eV per atom

Unit cell a=3.1677 b=10.5779 c=10.5779 alpha=90.00 beta=90.00 gamma=90.00
Fractional coordinates of all 20 atoms:
Y (0.0000, 0.6817, 0.1817)
Y (0.0000, 0.3183, 0.8183)
Y (0.0000, 0.1817, 0.3183)
Y (0.0000, 0.8183, 0.6817)
Ga (0.5000, 0.1918, 0.0549)
Ga (0.5000, 0.8082, 0.9451)
Ga (0.5000, 0.0549, 0.8082)
Ga (0.5000, 0.6918, 0.4451)
Ga (0.5000, 0.9451, 0.1918)
Ga (0.5000, 0.3082, 0.5549)
Ga (0.5000, 0.5549, 0.6918)
Ga (0.5000, 0.4451, 0.3082)
Ga (0.5000, 0.5000, 0.0000)
Ga (0.5000, 0.0000, 0.5000)
Ir (0.0000, 0.0000, 0.0000)
Ir (0.0000, 0.5000, 0.5000)
Ru (0.0000, 0.1282, 0.6282)
Ru (0.0000, 0.8718, 0.3718)
Ru (0.0000, 0.6282, 0.8718)
Ru (0.0000, 0.3718, 0.1282)

[2]
The following is a GGA-PBE calculation of a relaxed GaIrS3 crystal, from Alexandria via LeMat-Bulk.

Results
Raw total energy = -5.3194 eV per atom
Calculated volume = 220.60 Å³/cell
Offset from the most stable computed form = 0 meV/atom

Unit cell a=3.6526 b=6.1499 c=9.9235 alpha=98.27 beta=90.00 gamma=90.00
Fractional coordinates of all 10 atoms:
Ga (0.7500, 0.4849, 0.7578)
Ga (0.2500, 0.5151, 0.2422)
Ir (0.7500, 0.0357, 0.1598)
Ir (0.2500, 0.9643, 0.8402)
S (0.7500, 0.7992, 0.9439)
S (0.2500, 0.2008, 0.0561)
S (0.7500, 0.3478, 0.3320)
S (0.2500, 0.6522, 0.6680)
S (0.7500, 0.1151, 0.7268)
S (0.2500, 0.8849, 0.2732)

[3]
The following is a GGA-PBE calculation of a relaxed Ga2IrS crystal, from Alexandria via LeMat-Bulk.

Results
Raw total energy = -4.7829 eV per atom
Calculated volume = 176.06 Å³/cell
DOS(E_F) = 0.768 states/eV per atom

Unit cell a=5.8006 b=5.8006 c=6.6484 alpha=64.14 beta=64.14 gamma=90.00
Fractional coordinates of all 8 atoms:
S (0.5000, 0.5000, 0.0000)
S (0.2500, 0.7500, 0.5000)
Ir (0.0000, 0.0000, 0.0000)
Ir (0.7500, 0.2500, 0.5000)
Ga (0.6303, 0.1250, 0.2500)
Ga (0.1197, 0.6250, 0.2500)
Ga (0.3750, 0.3697, 0.7500)
Ga (0.8750, 0.8803, 0.7500)

[4]
The following is a GGA-PBE calculation of a relaxed GaIr2S crystal, from Alexandria via LeMat-Bulk.

Results
Raw total energy = -6.0653 eV per atom
Calculated volume = 158.07 Å³/cell
DOS(E_F) = 0.504 states/eV per atom

Unit cell a=5.2810 b=5.2810 c=6.7874 alpha=67.11 beta=67.11 gamma=90.00
Fractional coordinates of all 8 atoms:
S (0.5000, 0.5000, 0.0000)
S (0.2500, 0.7500, 0.5000)
Ir (0.5830, 0.1250, 0.2500)
Ir (0.1670, 0.6250, 0.2500)
Ir (0.3750, 0.4170, 0.7500)
Ir (0.8750, 0.8330, 0.7500)
Ga (0.0000, 0.0000, 0.0000)
Ga (0.7500, 0.2500, 0.5000)